Compound: K2ScAg
Source: Alexandria via LeMat-Bulk
Functional: GGA-PBE
Structure: optimized geometry

Unit cell a=5.164 b=5.164 c=9.883 alpha=76.19 beta=76.19 gamma=42.61
Element x y z (fractional)
Ag1 0.271 0.271 0.375
K1 0.913 0.913 0.075
K2 0.756 0.756 0.675
Sc1 0.560 0.560 0.375

Values from the calculation:
spin magnetization: 0.3 μB per cell
E_form: 1.1 eV/f.u.
energy above the lowest structure with this stoichiometry: 0.114 eV/atom

***

Compound: KSc2Ag2
Source: Alexandria via LeMat-Bulk
Functional: GGA-PBE
Structure: optimized geometry

Unit cell a=8.693 b=8.693 c=3.198 alpha=90.00 beta=90.00 gamma=90.00
Element x y z (fractional)
Sc1 0.370 0.870 0.000
Sc2 0.870 0.630 0.000
Sc3 0.630 0.130 0.000
Sc4 0.130 0.370 0.000
K1 0.000 0.000 0.000
K2 0.500 0.500 0.000
Ag1 0.161 0.661 0.500
Ag2 0.661 0.839 0.500
Ag3 0.839 0.339 0.500
Ag4 0.339 0.161 0.500

Values from the calculation:
spin magnetization: 0.0 μB per cell
E_form: 0.4 eV/f.u.
energy above the lowest structure with this stoichiometry: 0.000 eV/atom

***

Compound: KScAg2
Source: Alexandria via LeMat-Bulk
Functional: GGA-PBE
Structure: optimized geometry

Unit cell a=3.588 b=3.514 c=8.920 alpha=66.88 beta=90.00 gamma=90.00
Element x y z (fractional)
Ag1 0.000 0.068 0.932
Ag2 0.000 0.432 0.568
K1 0.500 0.250 0.250
Sc1 0.500 0.750 0.750

Values from the calculation:
spin magnetization: 0.0 μB per cell
E_form: -0.2 eV/f.u.
energy above the lowest structure with this stoichiometry: 0.000 eV/atom

***

Compound: KScAg
Source: Alexandria via LeMat-Bulk
Functional: GGA-PBE
Structure: optimized geometry

Unit cell a=5.404 b=5.404 c=3.251 alpha=90.00 beta=90.00 gamma=120.00
Element x y z (fractional)
Ag1 0.000 0.000 0.979
K1 0.333 0.667 0.336
Sc1 0.667 0.333 0.685

Values from the calculation:
spin magnetization: 0.9 μB per cell
E_form: 1.6 eV/f.u.
energy above the lowest structure with this stoichiometry: 0.353 eV/atom

***

Compound: KScAg2
Source: Alexandria via LeMat-Bulk
Functional: GGA-PBE
Structure: optimized geometry

Unit cell a=3.852 b=3.852 c=9.319 alpha=83.00 beta=83.00 gamma=51.65
Element x y z (fractional)
Ag1 0.984 0.984 0.045
Ag2 0.516 0.516 0.455
K1 0.750 0.750 0.750
Sc1 0.250 0.250 0.250

Values from the calculation:
spin magnetization: 0.0 μB per cell
E_form: 0.6 eV/f.u.
energy above the lowest structure with this stoichiometry: 0.203 eV/atom

***

Compound: K2ScAg
Source: Alexandria via LeMat-Bulk
Functional: GGA-PBE
Structure: optimized geometry

Unit cell a=3.485 b=3.485 c=11.549 alpha=90.00 beta=90.00 gamma=90.77
Element x y z (fractional)
Ag1 0.500 0.500 0.750
K1 0.000 0.000 0.960
K2 0.000 0.000 0.540
Sc1 0.500 0.500 0.250

Values from the calculation:
spin magnetization: 1.0 μB per cell
E_form: 1.9 eV/f.u.
energy above the lowest structure with this stoichiometry: 0.297 eV/atom

***

Compound: K2Sc2Ag
Source: Alexandria via LeMat-Bulk
Functional: GGA-PBE
Structure: optimized geometry

Unit cell a=9.746 b=9.746 c=9.746 alpha=155.42 beta=155.42 gamma=35.04
Element x y z (fractional)
K1 0.250 0.750 0.500
K2 0.750 0.250 0.500
Sc1 0.573 0.573 0.000
Sc2 0.427 0.427 0.000
Ag1 0.000 0.000 0.000

Values from the calculation:
spin magnetization: 0.8 μB per cell
E_form: 4.1 eV/f.u.
energy above the lowest structure with this stoichiometry: 0.319 eV/atom

***

Compound: K2ScAg
Source: Alexandria via LeMat-Bulk
Functional: GGA-PBE
Structure: optimized geometry

Unit cell a=11.319 b=11.319 c=8.478 alpha=48.12 beta=48.12 gamma=90.00
Element x y z (fractional)
Sc1 0.500 0.500 0.000
Sc2 0.250 0.750 0.500
K1 0.739 0.125 0.250
K2 0.011 0.625 0.250
K3 0.375 0.261 0.750
K4 0.875 0.989 0.750
Ag1 0.000 0.000 0.000
Ag2 0.750 0.250 0.500

Values from the calculation:
spin magnetization: 0.8 μB per cell
E_form: 2.2 eV/f.u.
energy above the lowest structure with this stoichiometry: 0.388 eV/atom

***

Compound: KSc4Ag
Source: Alexandria via LeMat-Bulk
Functional: GGA-PBE
Structure: optimized geometry

Unit cell a=6.182 b=6.182 c=6.182 alpha=60.00 beta=60.00 gamma=60.00
Element x y z (fractional)
K1 0.000 0.000 0.000
Sc1 0.868 0.377 0.377
Sc2 0.377 0.377 0.868
Sc3 0.377 0.868 0.377
Sc4 0.377 0.377 0.377
Ag1 0.750 0.750 0.750

Values from the calculation:
spin magnetization: 0.0 μB per cell
E_form: 3.5 eV/f.u.

***

Compound: K2ScAg
Source: Alexandria via LeMat-Bulk
Functional: GGA-PBE
Structure: optimized geometry

Unit cell a=6.829 b=6.829 c=3.475 alpha=90.00 beta=90.00 gamma=121.05
Element x y z (fractional)
Ag1 0.000 0.500 0.500
K1 0.000 0.000 0.000
K2 0.500 0.500 0.000
Sc1 0.500 0.000 0.500

Values from the calculation:
spin magnetization: 1.2 μB per cell
E_form: 2.3 eV/f.u.
energy above the lowest structure with this stoichiometry: 0.395 eV/atom

***

Compound: KSc3Ag
Source: Alexandria via LeMat-Bulk
Functional: GGA-PBE
Structure: optimized geometry

Unit cell a=4.894 b=4.894 c=4.894 alpha=90.00 beta=90.00 gamma=90.00
Element x y z (fractional)
Sc1 0.000 0.500 0.000
Sc2 0.000 0.000 0.500
Sc3 0.500 0.000 0.000
K1 0.000 0.000 0.000
Ag1 0.500 0.500 0.500

Values from the calculation:
spin magnetization: 0.0 μB per cell
E_form: 7.0 eV/f.u.
energy above the lowest structure with this stoichiometry: 0.928 eV/atom

***

Compound: K2ScAg
Source: Alexandria via LeMat-Bulk
Functional: GGA-PBE
Structure: optimized geometry

Unit cell a=5.710 b=5.710 c=5.710 alpha=119.86 beta=119.86 gamma=90.24
Element x y z (fractional)
Ag1 0.750 0.250 0.500
K1 0.000 0.000 0.000
K2 0.250 0.750 0.500
Sc1 0.500 0.500 0.000

Values from the calculation:
spin magnetization: 1.3 μB per cell
E_form: 2.2 eV/f.u.
energy above the lowest structure with this stoichiometry: 0.385 eV/atom

***

Compound: KScAg
Source: Alexandria via LeMat-Bulk
Functional: GGA-PBE
Structure: optimized geometry

Unit cell a=3.560 b=3.560 c=8.260 alpha=90.00 beta=90.00 gamma=120.00
Element x y z (fractional)
Ag1 0.000 0.000 0.964
K1 0.333 0.667 0.309
Sc1 0.667 0.333 0.726

Values from the calculation:
spin magnetization: 0.7 μB per cell
E_form: 0.9 eV/f.u.
energy above the lowest structure with this stoichiometry: 0.123 eV/atom

***

Compound: KSc3Ag
Source: Alexandria via LeMat-Bulk
Functional: GGA-PBE
Structure: optimized geometry

Unit cell a=5.395 b=5.395 c=5.395 alpha=90.00 beta=90.00 gamma=90.00
Element x y z (fractional)
Sc1 0.000 0.500 0.000
Sc2 0.000 0.000 0.500
Sc3 0.500 0.000 0.000
K1 0.500 0.500 0.500
Ag1 0.000 0.000 0.000

Values from the calculation:
spin magnetization: 1.2 μB per cell
E_form: 2.4 eV/f.u.
energy above the lowest structure with this stoichiometry: 0.000 eV/atom

***

Compound: K2ScAg
Source: Alexandria via LeMat-Bulk
Functional: GGA-PBE
Structure: optimized geometry

Unit cell a=5.834 b=7.141 c=3.515 alpha=77.62 beta=85.54 gamma=112.91
Element x y z (fractional)
Ag1 0.500 0.500 0.000
K1 0.000 0.000 0.000
K2 0.500 0.000 0.500
Sc1 0.000 0.500 0.500

Values from the calculation:
spin magnetization: 0.0 μB per cell
E_form: 2.1 eV/f.u.
energy above the lowest structure with this stoichiometry: 0.367 eV/atom

***

Compound: KScAg2
Source: Alexandria via LeMat-Bulk
Functional: GGA-PBE
Structure: optimized geometry

Unit cell a=8.367 b=5.492 c=3.212 alpha=90.03 beta=67.38 gamma=130.49
Element x y z (fractional)
Ag1 0.000 0.000 0.000
Ag2 0.500 0.000 0.500
K1 0.000 0.500 0.500
Sc1 0.500 0.500 0.000

Values from the calculation:
spin magnetization: 0.0 μB per cell
E_form: 0.5 eV/f.u.
energy above the lowest structure with this stoichiometry: 0.180 eV/atom

***

Compound: K4ScAg
Source: Alexandria via LeMat-Bulk
Functional: GGA-PBE
Structure: optimized geometry

Unit cell a=7.421 b=7.421 c=7.421 alpha=60.00 beta=60.00 gamma=60.00
Element x y z (fractional)
K1 0.877 0.374 0.374
K2 0.374 0.374 0.877
K3 0.374 0.877 0.374
K4 0.374 0.374 0.374
Sc1 0.750 0.750 0.750
Ag1 0.000 0.000 0.000

Values from the calculation:
spin magnetization: 1.4 μB per cell
E_form: 4.0 eV/f.u.

***

Compound: K2ScAg2Se4
Source: Alexandria via LeMat-Bulk
Functional: GGA-PBE
Structure: optimized geometry

Unit cell a=4.041 b=7.995 c=7.933 alpha=108.74 beta=104.76 gamma=90.00
Element x y z (fractional)
K1 0.130 0.568 0.261
K2 0.870 0.432 0.739
Sc1 0.000 0.000 0.000
Ag1 0.679 0.976 0.357
Ag2 0.321 0.024 0.643
Se1 0.191 0.199 0.383
Se2 0.809 0.801 0.617
Se3 0.506 0.766 0.012
Se4 0.494 0.234 0.988

Values from the calculation:
spin magnetization: 0.0 μB per cell
ΔE_f (raw): -0.943 eV per atom

***

Compound: KScAgSe2
Source: Alexandria via LeMat-Bulk
Functional: GGA-PBE
Structure: optimized geometry

Unit cell a=4.945 b=7.526 c=7.537 alpha=97.18 beta=90.00 gamma=90.00
Element x y z (fractional)
K1 0.103 0.500 0.750
K2 0.897 0.500 0.250
Sc1 0.497 0.000 0.250
Sc2 0.503 0.000 0.750
Ag1 0.000 0.000 0.000
Ag2 0.000 0.000 0.500
Se1 0.603 0.757 0.970
Se2 0.603 0.243 0.530
Se3 0.397 0.757 0.470
Se4 0.397 0.243 0.030

Values from the calculation:
spin magnetization: 0.0 μB per cell
ΔE_f (raw): -0.997 eV per atom

***

Compound: KScAgSn2
Source: Alexandria via LeMat-Bulk
Functional: GGA-PBE
Structure: optimized geometry

Unit cell a=5.516 b=5.943 c=5.516 alpha=90.00 beta=90.00 gamma=90.00
Element x y z (fractional)
Sc1 0.000 0.000 0.000
K1 0.000 0.500 0.000
Sn1 0.000 0.000 0.500
Sn2 0.500 0.000 0.000
Ag1 0.500 0.500 0.500

Values from the calculation:
spin magnetization: 0.0 μB per cell
E_form: 2.5 eV/f.u.

***

Compound: KSc2AgTe4
Source: Alexandria via LeMat-Bulk
Functional: GGA-PBE
Structure: optimized geometry

Unit cell a=4.287 b=7.596 c=15.465 alpha=90.00 beta=90.00 gamma=106.39
Element x y z (fractional)
K1 0.132 0.265 0.750
K2 0.868 0.735 0.250
Sc1 0.373 0.746 0.573
Sc2 0.627 0.254 0.073
Sc3 0.627 0.254 0.427
Sc4 0.373 0.746 0.927
Ag1 0.836 0.671 0.750
Ag2 0.164 0.329 0.250
Te1 0.263 0.525 0.098
Te2 0.737 0.475 0.598
Te3 0.737 0.475 0.902
Te4 0.263 0.525 0.402
Te5 0.000 0.000 0.500
Te6 0.000 0.000 0.000
Te7 0.454 0.907 0.750
Te8 0.546 0.093 0.250

Values from the calculation:
spin magnetization: 0.0 μB per cell
ΔE_f (raw): -0.967 eV per atom

***

Compound: K2ScAg2Te4
Source: Alexandria via LeMat-Bulk
Functional: GGA-PBE
Structure: optimized geometry

Unit cell a=4.283 b=8.534 c=8.362 alpha=108.70 beta=104.84 gamma=90.00
Element x y z (fractional)
K1 0.131 0.575 0.263
K2 0.869 0.425 0.737
Sc1 0.000 0.000 0.000
Ag1 0.682 0.976 0.365
Ag2 0.318 0.024 0.635
Te1 0.192 0.200 0.384
Te2 0.808 0.800 0.616
Te3 0.508 0.764 0.015
Te4 0.492 0.236 0.985

Values from the calculation:
spin magnetization: 0.0 μB per cell
ΔE_f (raw): -0.783 eV per atom

***

Compound: KAgSe2
Source: Alexandria via LeMat-Bulk
Functional: GGA-PBE
Structure: optimized geometry

Unit cell a=6.233 b=6.233 c=6.233 alpha=145.99 beta=130.13 gamma=61.74
Element x y z (fractional)
Ag1 0.555 0.555 0.000
K1 0.252 0.752 0.500
Se1 0.950 0.950 0.000
Se2 0.743 0.243 0.500

Values from the calculation:
spin magnetization: 0.0 μB per cell
ΔE_f (raw): -0.188 eV per atom

***

Compound: KAg3Se3
Source: Alexandria via LeMat-Bulk
Functional: GGA-PBE
Structure: optimized geometry

Unit cell a=7.460 b=7.460 c=9.258 alpha=66.24 beta=66.24 gamma=60.00
Element x y z (fractional)
K1 0.333 0.333 0.000
K2 0.667 0.667 0.000
Ag1 0.462 0.794 0.616
Ag2 0.794 0.128 0.616
Ag3 0.128 0.462 0.616
Ag4 0.872 0.538 0.384
Ag5 0.206 0.872 0.384
Ag6 0.538 0.206 0.384
Se1 0.241 0.575 0.276
Se2 0.907 0.241 0.276
Se3 0.575 0.907 0.276
Se4 0.425 0.093 0.724
Se5 0.093 0.759 0.724
Se6 0.759 0.425 0.724

Values from the calculation:
spin magnetization: 0.0 μB per cell
ΔE_f (raw): -0.258 eV per atom
energy above the lowest structure with this stoichiometry: 0.017 eV/atom

***

Compound: KAgSe2
Source: Alexandria via LeMat-Bulk
Functional: GGA-PBE
Structure: optimized geometry

Unit cell a=5.663 b=8.538 c=2.941 alpha=69.83 beta=90.01 gamma=131.63
Element x y z (fractional)
Ag1 0.500 0.500 0.000
K1 0.500 0.000 0.500
Se1 0.000 0.000 0.000
Se2 0.000 0.500 0.500

Values from the calculation:
spin magnetization: 0.0 μB per cell
ΔE_f (raw): -0.244 eV per atom

***

Compound: KAgSe2
Source: Alexandria via LeMat-Bulk
Functional: GGA-PBE
Structure: optimized geometry

Unit cell a=6.609 b=6.609 c=6.225 alpha=81.08 beta=81.08 gamma=26.08
Element x y z (fractional)
Ag1 0.436 0.436 0.508
K1 0.274 0.274 0.150
Se1 0.021 0.021 0.167
Se2 0.768 0.768 0.675

Values from the calculation:
spin magnetization: 0.0 μB per cell
ΔE_f (raw): -0.326 eV per atom

***

Compound: KAgSe2
Source: Alexandria via LeMat-Bulk
Functional: GGA-PBE
Structure: optimized geometry

Unit cell a=11.767 b=11.767 c=11.767 alpha=15.82 beta=15.82 gamma=15.82
Element x y z (fractional)
Ag1 0.506 0.506 0.506
K1 0.752 0.752 0.752
Se1 0.012 0.012 0.012
Se2 0.231 0.231 0.231

Values from the calculation:
spin magnetization: 0.0 μB per cell
ΔE_f (raw): 0.251 eV per atom